Here is a relaxed structure of Pa3TiS6 from Alexandria. Energies are from PBE.

Results
Uncorrected formation energy ... -1532 meV/atom
DOS(E_F) ... 12.03 states/eV/f.u.
M_tot ... 1.953 μB per formula unit
DFT total energy ... -7.647 eV/atom

```
data_Pa3TiS6
_chemical_formula_sum 'Pa12 Ti4 S24'
_space_group_name_H-M_alt 'C m c 21'
_space_group_IT_number 36
_space_group_name_Hall 'C 2c -2'
_cell_length_a 10.732
_cell_length_b 12.674
_cell_length_c 6.341
_cell_angle_alpha 90.00
_cell_angle_beta 90.00
_cell_angle_gamma 90.00
loop_
_atom_site_label
_atom_site_type_symbol
_atom_site_fract_x
_atom_site_fract_y
_atom_site_fract_z
_atom_site_occupancy
Pa1 Pa 0.000 0.111 0.000 1
Pa2 Pa 0.170 0.398 0.114 1
Ti1 Ti 0.000 0.355 0.636 1
S1 S 0.000 0.259 0.299 1
S2 S 0.000 0.498 0.375 1
S3 S 0.161 0.032 0.311 1
S4 S 0.163 0.246 0.797 1
```



Here is a relaxed structure of LaGaAg2Sb from Alexandria. Energies are from PBE.

Results
Uncorrected formation energy ... -52 meV/atom
DOS(E_F) ... 2.58 states/eV/f.u.
M_tot ... 0.000 μB per formula unit
DFT total energy ... -3.608 eV/atom

```
data_LaGaAg2Sb
_chemical_formula_sum 'La1 Ga1 Ag2 Sb1'
_space_group_name_H-M_alt 'P 4/m m m'
_space_group_IT_number 123
_space_group_name_Hall '-P 4 2'
_cell_length_a 4.864
_cell_length_b 4.864
_cell_length_c 5.795
_cell_angle_alpha 90.00
_cell_angle_beta 90.00
_cell_angle_gamma 90.00
loop_
_atom_site_label
_atom_site_type_symbol
_atom_site_fract_x
_atom_site_fract_y
_atom_site_fract_z
_atom_site_occupancy
La1 La 0.000 0.000 0.000 1
Ga1 Ga 0.000 0.000 0.500 1
Ag1 Ag 0.000 0.500 0.500 1
Sb1 Sb 0.500 0.500 0.000 1
```



Here is a relaxed structure of Li2Ti3S6 from Alexandria. Energies are from PBE.

Results
Uncorrected formation energy ... -1400 meV/atom
DOS(E_F) ... 6.00 states/eV/f.u.
M_tot ... 0.003 μB per formula unit
DFT total energy ... -6.152 eV/atom

```
data_Li2Ti3S6
_chemical_formula_sum 'Li4 Ti6 S12'
_space_group_name_H-M_alt 'C 1 2/m 1'
_space_group_IT_number 12
_space_group_name_Hall '-C 2y'
_cell_length_a 5.946
_cell_length_b 10.300
_cell_length_c 6.538
_cell_angle_alpha 90.00
_cell_angle_beta 107.66
_cell_angle_gamma 90.00
loop_
_atom_site_label
_atom_site_type_symbol
_atom_site_fract_x
_atom_site_fract_y
_atom_site_fract_z
_atom_site_occupancy
Li1 Li 0.000 0.167 0.000 1
Ti1 Ti 0.000 0.000 0.500 1
Ti2 Ti 0.000 0.333 0.500 1
S1 S 0.244 0.500 0.733 1
S2 S 0.245 0.167 0.733 1
```



Here is a relaxed structure of BeCuMo from Alexandria. Energies are from PBE.

Results
Polymorph energy (0 for the lowest one) ... 0.527 eV/atom
DOS(E_F) ... 3.40 states/eV/f.u.
M_tot ... 0.154 μB per formula unit
DFT total energy ... -5.667 eV/atom

```
data_BeCuMo
_chemical_formula_sum 'Be4 Cu4 Mo4'
_space_group_name_H-M_alt 'F -4 3 m'
_space_group_IT_number 216
_space_group_name_Hall 'F -4 2 3'
_cell_length_a 5.383
_cell_length_b 5.383
_cell_length_c 5.383
_cell_angle_alpha 90.00
_cell_angle_beta 90.00
_cell_angle_gamma 90.00
loop_
_atom_site_label
_atom_site_type_symbol
_atom_site_fract_x
_atom_site_fract_y
_atom_site_fract_z
_atom_site_occupancy
Be1 Be 0.000 0.000 0.000 1
Cu1 Cu 0.250 0.250 0.250 1
Mo1 Mo 0.250 0.250 0.750 1
```



What is the DOS(E_F) in the third record? 6.00 states/eV/f.u.



Among the records above, which one has the lowest M_tot? LaGaAg2Sb



M_tot of number 3 (Li2Ti3S6)? 0.003 μB per formula unit